[1]
A plane-wave DFT calculation with PBE was carried out for crystalline Ba3Tl6CdSn2 at its relaxed geometry.

```
Ba3Tl6CdSn2
1.0
6.601 0.000 0.000
-3.301 5.717 0.000
0.000 0.000 11.154
Ba Tl Cd Sn
3 6 1 2
direct
0.000 0.000 0.000
0.333 0.667 0.587
0.667 0.333 0.413
0.171 0.341 0.272
0.171 0.829 0.272
0.341 0.171 0.728
0.659 0.829 0.272
0.829 0.171 0.728
0.829 0.659 0.728
0.000 0.000 0.500
0.333 0.667 0.029
0.667 0.333 0.971
```

[2]
A plane-wave DFT calculation with PBE was carried out for crystalline BaTlCdSn at its relaxed geometry.

```
BaTlCdSn
1.0
0.000 3.978 3.978
3.978 0.000 3.978
3.978 3.978 0.000
Ba Tl Cd Sn
1 1 1 1
direct
0.000 0.000 0.000
0.750 0.750 0.750
0.250 0.250 0.250
0.500 0.500 0.500
```

[3]
A plane-wave DFT calculation with PBE was carried out for crystalline BaTl2CdSn at its relaxed geometry.

```
BaTl2CdSn
1.0
-2.507 2.578 6.337
2.507 -2.578 6.337
2.507 2.578 -6.337
Ba Tl Cd Sn
1 2 1 1
direct
0.000 0.000 0.000
0.612 0.612 0.000
0.752 0.252 0.500
0.244 0.744 0.500
0.380 0.380 0.000
```

[4]
A plane-wave DFT calculation with PBE was carried out for crystalline Ba3Tl6Cd2Sn at its relaxed geometry.

```
Ba3Tl6Cd2Sn
1.0
6.551 0.000 0.000
-3.275 5.673 0.000
0.000 0.000 11.323
Ba Tl Cd Sn
3 6 2 1
direct
0.000 0.000 0.000
0.333 0.667 0.586
0.667 0.333 0.414
0.170 0.340 0.263
0.170 0.830 0.263
0.340 0.170 0.737
0.660 0.830 0.263
0.830 0.170 0.737
0.830 0.660 0.737
0.333 0.667 0.930
0.667 0.333 0.070
0.000 0.000 0.500
```

We obtain total magnetic moment values of 0.0, 0.0, 0.0, 0.0 Bohr magnetons per cell for the records listed above, in that order.
We obtain energy relative to the elements values of -0.161, -0.279, -0.271, -0.215 eV per atom for the records listed above, in that order.
We obtain raw total energy values of -2.5678, -2.5806, -2.5861, -2.3649 eV/atom for the records listed above, in that order.